Density functional theory data (PBE-GGA) for a relaxed structure of PmPr15In4.

a b c (Å): 5.030 5.030 25.737
angles (deg): 90.00 90.00 90.00
Space group P4/mmm (No. 123)
Symmetry-distinct sites (fractional):
Pm1 0.000 0.000 0.000
Pr1 0.000 0.500 0.106
Pr2 0.000 0.500 0.304
Pr3 0.000 0.500 0.500
Pr4 0.500 0.500 0.000
Pr5 0.500 0.500 0.206
Pr6 0.500 0.500 0.402
In1 0.000 0.000 0.206
In2 0.000 0.000 0.402

Values from the calculation:
- ΔH_f (0 K): -0.21 eV/atom

=====

Density functional theory data (PBE-GGA) for a relaxed structure of Pm2Pr4In.

a b c (Å): 6.469 11.174 6.654
angles (deg): 90.00 90.18 90.00
Space group P2_1/c (No. 14)
Symmetry-distinct sites (fractional):
Pm1 0.248 0.032 0.050
Pr1 0.074 0.154 0.540
Pr2 0.399 0.736 0.268
In1 0.500 0.000 0.500

Values from the calculation:
- ΔH_f (0 K): -0.04 eV/atom
- Energy relative to the lowest polymorph listed for this composition: 0.15 eV/f.u.

=====

Density functional theory data (PBE-GGA) for a relaxed structure of Pm2PrIn6.

a b c (Å): 8.6740 8.6740 3.7170
angles (deg): 90.00 90.00 120.00
Space group P6/mmm (No. 191)
Symmetry-distinct sites (fractional):
Pm1 0.3333 0.6667 0.0000
Pr1 0.0000 0.0000 0.0000
In1 0.0000 0.3342 0.5000

Values from the calculation:
- ΔH_f (0 K): -0.47 eV/atom

=====

Density functional theory data (PBE-GGA) for a relaxed structure of PmPr2In3.

a b c (Å): 3.781 29.779 6.695
angles (deg): 90.00 90.00 90.00
Space group Cmcm (No. 63)
Symmetry-distinct sites (fractional):
Pm1 0.000 0.169 0.250
Pr1 0.000 0.348 0.250
Pr2 0.000 0.494 0.750
In1 0.000 0.077 0.513
In2 0.000 0.243 0.750

Values from the calculation:
- ΔH_f (0 K): -0.31 eV/atom
- Energy relative to the lowest polymorph listed for this composition: 1.13 eV/f.u.

=====

Density functional theory data (PBE-GGA) for a relaxed structure of PmPr14In.

a b c (Å): 10.382 10.367 10.370
angles (deg): 90.00 90.00 90.00
Space group Amm2 (No. 38)
Symmetry-distinct sites (fractional):
Pm1 0.000 0.000 0.000
Pr1 0.000 0.250 0.250
Pr2 0.244 0.000 0.253
Pr3 0.244 0.000 0.746
Pr4 0.244 0.246 0.500
Pr5 0.500 0.000 0.500
Pr6 0.500 0.000 0.999
Pr7 0.500 0.250 0.250
In1 0.000 0.000 0.499

Values from the calculation:
- ΔH_f (0 K): -0.04 eV/atom

=====

Density functional theory data (PBE-GGA) for a relaxed structure of Pm5PrIn4.

a b c (Å): 3.616 3.616 22.775
angles (deg): 90.00 90.00 90.00
Space group P4/mmm (No. 123)
Symmetry-distinct sites (fractional):
Pm1 0.000 0.000 0.000
Pm2 0.000 0.000 0.191
Pm3 0.000 0.000 0.382
Pr1 0.500 0.500 0.500
In1 0.500 0.500 0.096
In2 0.500 0.500 0.288

Values from the calculation:
- ΔH_f (0 K): -0.39 eV/atom

=====

Density functional theory data (PBE-GGA) for a relaxed structure of Pm2PrIn.

a b c (Å): 4.992 4.992 4.953
angles (deg): 90.00 90.00 90.00
Space group P4/mmm (No. 123)
Symmetry-distinct sites (fractional):
Pm1 0.000 0.500 0.000
Pr1 0.000 0.000 0.500
In1 0.500 0.500 0.500

Values from the calculation:
- ΔH_f (0 K): -0.27 eV/atom
- Energy relative to the lowest polymorph listed for this composition: 0.00 eV/f.u.

=====

Density functional theory data (PBE-GGA) for a relaxed structure of PmPr2In9.

a b c (Å): 4.725 4.725 14.177
angles (deg): 90.00 90.00 90.00
Space group P4/mmm (No. 123)
Symmetry-distinct sites (fractional):
Pm1 0.000 0.000 0.000
Pr1 0.000 0.000 0.332
In1 0.000 0.500 0.165
In2 0.000 0.500 0.500
In3 0.500 0.500 0.000
In4 0.500 0.500 0.333

Values from the calculation:
- ΔH_f (0 K): -0.47 eV/atom